[1]
MgCdAg2 (PBE, optimized geometry); ρ = 7.8 g/cm³; total DFT energy (no corrections) = -2.191 eV per atom
1.0
4.5759 0.0000 0.0000
0.0000 4.5759 0.0000
0.0000 0.0000 3.5959
Ag Cd Mg
2 1 1
direct
0.5000 0.0000 0.5000
0.0000 0.5000 0.5000
0.0000 0.0000 0.0000
0.5000 0.5000 0.0000



[2]
LuAsPO (PBE, optimized geometry); ρ = 6.2 g/cm³; polymorph energy (0 for the lowest one) = 35.5 meV per atom
1.0
-1.4178 0.3233 -3.1107
1.7034 -6.6400 -1.4664
-5.8214 -2.0327 2.4421
As Lu O P
2 2 2 2
direct
0.5000 0.1194 0.0412
0.5000 0.8806 0.5412
0.0000 0.2901 0.4201
0.0000 0.7099 0.9201
0.5000 0.4256 0.4876
0.5000 0.5744 0.9876
0.0000 0.8811 0.3051
0.0000 0.1189 0.8051



[3]
ZnS (PBE, optimized geometry); ρ = 4.1 g/cm³; total DFT energy (no corrections) = -3.508 eV per atom
1.0
2.3792 -1.3997 -2.6618
-0.4862 -1.8713 3.3117
-38.8524 -26.1077 -18.2366
S Zn
16 16
direct
0.6719 0.3281 0.0157
0.3594 0.6407 0.0781
0.0469 0.9531 0.1406
0.7344 0.2656 0.2032
0.4219 0.5782 0.2656
0.1094 0.8906 0.3281
0.7969 0.2031 0.3906
0.1510 0.8489 0.4532
0.5052 0.4948 0.5156
0.8594 0.1406 0.5782
0.2135 0.7864 0.6406
0.5677 0.4323 0.7031
0.9219 0.0781 0.7657
0.2760 0.7239 0.8281
0.6302 0.3698 0.8906
0.9844 0.0156 0.9531
0.0000 0.0000 0.0000
0.6875 0.3125 0.0625
0.3750 0.6250 0.1250
0.0625 0.9374 0.1875
0.7500 0.2500 0.2500
0.4375 0.5626 0.3125
0.1250 0.8750 0.3750
0.8125 0.1875 0.4375
0.1666 0.8333 0.5000
0.5209 0.4792 0.5625
0.8750 0.1250 0.6250
0.2291 0.7708 0.6875
0.5834 0.4167 0.7500
0.9375 0.0625 0.8125
0.2916 0.7083 0.8750
0.6459 0.3542 0.9375



[4]
YSiNi (PBE, optimized geometry); ρ = 5.6 g/cm³; total DFT energy (no corrections) = -6.640 eV per atom
1.0
-0.4580 -2.7444 6.3147
-3.6464 -1.7330 -1.0176
3.4447 -5.8912 -2.3105
Ni Si Y
4 4 4
direct
0.6885 0.7500 0.0821
0.1885 0.7500 0.4179
0.8115 0.2500 0.5821
0.3115 0.2500 0.9179
0.3080 0.7500 0.0870
0.8080 0.7500 0.4130
0.1920 0.2500 0.5870
0.6920 0.2500 0.9130
0.0079 0.2500 0.2017
0.5079 0.2500 0.2983
0.4921 0.7500 0.7017
0.9921 0.7500 0.7983



[5]
LiThCu (PBE, optimized geometry); ρ = 7.1 g/cm³; polymorph energy (0 for the lowest one) = 479.2 meV per atom
1.0
-1.7941 -4.2177 0.7646
-1.7678 -1.0524 4.1665
-4.5895 -0.5143 0.5140
Cu Li Th
1 1 1
direct
0.0000 0.0000 0.0000
0.5000 0.5000 0.5000
0.7500 0.7500 0.7500



[6]
SmPPdO (PBE, optimized geometry); ρ = 6.2 g/cm³; polymorph energy (0 for the lowest one) = 877.0 meV per atom
1.0
-3.9963 -4.3858 -1.2421
3.6028 -4.0511 2.7125
-2.0320 0.7640 3.8400
O P Pd Sm
2 2 2 2
direct
0.0000 0.0000 0.0000
0.5000 0.5000 0.0000
0.0000 0.5000 0.0130
0.5000 0.0000 0.9870
0.5000 0.0000 0.4873
0.0000 0.5000 0.5127
0.0000 0.0000 0.5000
0.5000 0.5000 0.5000



[7]
DyHoTm2In2 (PBE, optimized geometry); ρ = 9.0 g/cm³; total DFT energy (no corrections) = -4.283 eV per atom
1.0
-0.5028 -2.6395 4.6175
-3.6633 -0.6132 -3.8399
3.5024 -5.0903 -2.5284
Dy Ho In Tm
1 1 2 2
direct
0.0000 0.0000 0.5000
0.0000 0.0000 0.0000
0.3333 0.6667 0.2499
0.6667 0.3333 0.7501
0.6667 0.3333 0.2499
0.3333 0.6667 0.7501



[8]
NbNi2Pt2 (PBE, optimized geometry); ρ = 13.3 g/cm³; formation enthalpy at 0 K = -0.122 eV per atom; polymorph energy (0 for the lowest one) = 0.0 meV per atom
1.0
1.5508 0.5189 -3.0640
-2.9755 1.2357 -1.2967
2.3220 4.8759 3.9695
Nb Ni Pt
1 2 2
direct
0.0000 0.0000 0.0000
0.7500 0.2500 0.5000
0.2500 0.7500 0.5000
0.6042 0.6042 0.2085
0.3958 0.3958 0.7915



| no. | calculated volume (Å³ per cell) |
| --- | --- |
| 1 | 75.3 |
| 2 | 159.6 |
| 3 | 639.1 |
| 4 | 207.0 |
| 5 | 70.9 |
| 6 | 162.1 |
| 7 | 165.0 |
| 8 | 75.2 |